Computed, not measured: B2C after structural relaxation at the PBE level of DFT.

Structure (POSCAR):
```
B2C
1.0
6.836 -1.353 0.000
6.836 1.353 0.000
-1.241 0.000 4.576
B C
8 4
direct
0.000 0.000 0.000
0.072 0.072 0.776
0.183 0.183 0.688
0.502 0.502 0.273
0.580 0.580 0.050
0.753 0.753 0.947
0.863 0.863 0.753
0.887 0.887 0.134
0.227 0.227 0.407
0.344 0.344 0.562
0.399 0.399 0.329
0.700 0.700 0.220
```

Summary:
The calculation puts the magnetic moment at 0.0 μB per formula unit. The relative energy among the computed polymorphs comes out at 247.3 meV per atom. The value obtained for the formation energy from the elements is 0.43 eV per atom. Its volume is 7.05 Å³ per atom. As for the crystal system: monoclinic.



Computed, not measured: La2ErAl after structural relaxation at the PBE level of DFT.

Structure (POSCAR):
```
La2ErAl
1.0
7.814 0.000 0.000
0.000 7.814 0.000
0.000 0.000 7.814
La Er Al
8 4 4
direct
0.250 0.250 0.250
0.250 0.250 0.750
0.250 0.750 0.250
0.250 0.750 0.750
0.750 0.250 0.250
0.750 0.250 0.750
0.750 0.750 0.250
0.750 0.750 0.750
0.000 0.000 0.000
0.000 0.500 0.500
0.500 0.000 0.500
0.500 0.500 0.000
0.000 0.000 0.500
0.000 0.500 0.000
0.500 0.000 0.000
0.500 0.500 0.500
```

Summary:
The calculation puts the magnetic moment at 0.0 μB per formula unit. The relative energy among the computed polymorphs comes out at 84.7 meV per atom. The value obtained for the formation energy from the elements is -0.08 eV per atom. Its volume is 29.82 Å³ per atom. As for the crystal system: cubic.